Record 1
First-principles (SCAN) data for a PBEsol-optimized structure of NaHf2Rh, as listed in Alexandria via LeMat-Bulk.

Unit cell a=6.6205 b=6.6205 c=6.6205 alpha=90.00 beta=90.00 gamma=90.00
Closest atoms and distances in Å follow each position.
Space group Fm-3m (No. 225)
Inequivalent atoms, fractional coordinates:
Na 0.0000 0.0000 0.0000 x4  8 Hf 2.87
Hf 0.2500 0.2500 0.2500 x8  4 Na 2.87, 4 Rh 2.87
Rh 0.0000 0.0000 0.5000 x4  8 Hf 2.87

Summary:
E_form = -0.0308 eV per atom
Raw total energy = -3.0034 Ry/atom
Mass density = 11.1 g/cm³
M_tot = 0.00 μB/atom
D(E_F) = 8.44 states/eV/cell

---

Record 2
First-principles (SCAN) data for a PBEsol-optimized structure of NaHfSiRu2, as listed in Alexandria via LeMat-Bulk.

Unit cell a=4.6349 b=4.6349 c=5.1072 alpha=90.00 beta=90.00 gamma=90.00
Closest atoms and distances in Å follow each position.
Space group P4/mmm (No. 123)
Inequivalent atoms, fractional coordinates:
Na 0.0000 0.0000 0.0000 x1  2 Hf 2.55
Hf 0.0000 0.0000 0.5000 x1  4 Ru 2.32, 2 Na 2.55
Si 0.5000 0.5000 0.0000 x1  4 Na 3.28, 8 Ru 3.45
Ru 0.0000 0.5000 0.5000 x2  2 Hf 2.32

Summary:
Raw total energy = -2.0363 Ry/atom
Mass density = 6.5 g/cm³
M_tot = 0.00 μB/atom
D(E_F) = 3.95 states/eV/cell
Raw formation energy = 1606.4 meV/atom

---

Record 3
First-principles (SCAN) data for a PBEsol-optimized structure of NaHf3Sb, as listed in Alexandria via LeMat-Bulk.

Unit cell a=5.2777 b=5.2777 c=5.2777 alpha=90.00 beta=90.00 gamma=90.00
Closest atoms and distances in Å follow each position.
Space group Pm-3m (No. 221)
Inequivalent atoms, fractional coordinates:
Na 0.0000 0.0000 0.0000 x1  12 Hf 3.73
Hf 0.0000 0.5000 0.5000 x3  2 Sb 2.64
Sb 0.5000 0.5000 0.5000 x1  6 Hf 2.64

Summary:
Raw total energy = -3.2986 Ry/atom
Mass density = 7.7 g/cm³
M_tot = 0.00 μB/atom
D(E_F) = 4.32 states/eV/cell
Raw formation energy = 1019.9 meV/atom

---

Record 4
First-principles (SCAN) data for a PBEsol-optimized structure of NaHf3Sc, as listed in Alexandria via LeMat-Bulk.

Unit cell a=5.0732 b=5.0732 c=5.0732 alpha=90.00 beta=90.00 gamma=90.00
Closest atoms and distances in Å follow each position.
Space group Pm-3m (No. 221)
Inequivalent atoms, fractional coordinates:
Na 0.0000 0.0000 0.0000 x1  12 Hf 3.59
Hf 0.0000 0.5000 0.5000 x3  2 Sc 2.54
Sc 0.5000 0.5000 0.5000 x1  6 Hf 2.54

Summary:
E_form = 1.3628 eV per atom
Raw total energy = -2.9349 Ry/atom
Mass density = 7.7 g/cm³
M_tot = 0.00 μB/atom
D(E_F) = 8.10 states/eV/cell

---

Record 5
First-principles (SCAN) data for a PBEsol-optimized structure of Na3HfSe, as listed in Alexandria via LeMat-Bulk.

Unit cell a=5.4144 b=5.4144 c=5.4144 alpha=90.00 beta=90.00 gamma=90.00
Closest atoms and distances in Å follow each position.
Space group Pm-3m (No. 221)
Inequivalent atoms, fractional coordinates:
Na 0.0000 0.0000 0.5000 x3  2 Se 2.71
Hf 0.5000 0.5000 0.5000 x1  12 Na 3.83
Se 0.0000 0.0000 0.0000 x1  6 Na 2.71

Summary:
Raw total energy = -1.3720 Ry/atom
Mass density = 3.4 g/cm³
M_tot = 0.60 μB/atom
D(E_F) = 5.85 states/eV/cell
Raw formation energy = 412.5 meV/atom

---

Record 6
First-principles (SCAN) data for a PBEsol-optimized structure of NaSrHf3, as listed in Alexandria via LeMat-Bulk.

Unit cell a=5.2298 b=5.2298 c=5.2298 alpha=90.00 beta=90.00 gamma=90.00
Closest atoms and distances in Å follow each position.
Space group Pm-3m (No. 221)
Inequivalent atoms, fractional coordinates:
Na 0.0000 0.0000 0.0000 x1  12 Hf 3.70
Sr 0.5000 0.5000 0.5000 x1  6 Hf 2.61
Hf 0.0000 0.5000 0.5000 x3  2 Sr 2.61

Summary:
E_form = 2.1283 eV per atom
Raw total energy = -2.9968 Ry/atom
Mass density = 7.5 g/cm³
M_tot = 0.00 μB/atom
D(E_F) = 9.14 states/eV/cell

---

Q: Which of these has the highest D(E_F)?
A: NaSrHf3